A plane-wave DFT calculation with meta-GGA SCAN was carried out for a PBEsol-optimized structure of LiRe2Pb.

Cell lengths 8.3964, 3.1116, 5.3369 Å; angles 90.00, 98.41, 90.00 degrees
With the nearest neighbours (Å) after each atom.
Space group Cm (No. 8)
Unique sites:
Li  0.0000  0.0000  0.0000 (multiplicity 2)  3 Pb 2.55-2.81, 3 Re 2.65-2.79
Re  0.2608  0.5000  0.2736 (multiplicity 2)  3 Re 2.48-2.59, 1 Li 2.65
Re  0.4830  0.0000  0.4297 (multiplicity 2)  3 Re 2.48-2.59
Pb  0.2430  0.0000  0.7629 (multiplicity 2)  3 Li 2.55-2.81

Properties
E_form ... 0.545 eV per atom
DFT total energy ... -54.5468 eV/atom